Below is an optimized crystal structure of NaCrCO4, with properties calculated at the PBE with a Hubbard U level.

abc: 5.948 5.618 5.618
angles: 56.02 58.04 58.04
Site moments in Bohr magnetons follow the coordinates.
Element x y z (fractional)
1 O 0.729 0.753 0.788  -0.04
2 O 0.271 0.712 0.747  -0.04
3 Na 0.000 0.500 0.500  0.00
4 O 0.729 0.288 0.253  -0.04
5 O 0.709 0.734 0.234  -0.03
6 C 0.401 0.349 0.849  0.02
7 Cr 0.000 0.000 0.500  3.02
8 Na 0.000 0.000 0.000  0.00
9 Cr 0.500 0.000 0.500  3.02
10 O 0.677 0.266 0.766  -0.03
11 O 0.291 0.266 0.766  -0.03
12 C 0.599 0.651 0.151  0.02
13 O 0.323 0.734 0.234  -0.03
14 O 0.271 0.247 0.212  -0.04

Output
As for the energy: -6.648 eV/atom. The value obtained for the total magnetization is 2.99 μB per formula unit. The density is 4.02 g/cm³. As for the space-group type: Imma (74).